NaCoNi2F6 | GGA+U | relaxed

Output
electronic total energy = -0.1571 hartree per atom

Cell lengths 5.7790, 5.0207, 5.6652 Å; angles 67.91, 55.89, 67.81 degrees
Element x y z (fractional)
F1 0.1834 0.3425 0.5732
F2 0.5980 0.1726 0.7421
F3 0.6746 0.3478 0.1076
F4 0.2773 0.8933 0.3232
F5 0.8940 0.6290 0.2599
F6 0.3725 0.6945 0.7990
Na1 0.8185 0.7303 0.6716
Co1 0.3059 0.3111 0.1358
Ni1 0.5097 0.5175 0.4584
Ni2 0.0277 0.0230 0.9444